# BaRe2, relaxed, DFT PBE-GGA
# Size of the total moment   0.00 μB/f.u.
# Formation energy   2.179 eV per atom
# ρ   13.7 Mg/m³
# DOS(E_F)   7.53 states/eV/cell
# Electronic total energy   -6.761 eV per atom
data_BaRe2
_symmetry_space_group_name_H-M 'P 63/m m c'
_symmetry_Int_Tables_number 194
_symmetry_space_group_name_Hall '-P 6c 2c'
_cell_length_a 5.0515
_cell_length_b 5.0515
_cell_length_c 5.5886
_cell_angle_alpha 90.00
_cell_angle_beta 90.00
_cell_angle_gamma 120.00
loop_
_atom_site_label
_atom_site_type_symbol
_atom_site_fract_x
_atom_site_fract_y
_atom_site_fract_z
Ba1 Ba 0.3333 0.6667 0.2500
Re1 Re 0.0000 0.0000 0.0000
Re2 Re 0.3333 0.6667 0.7500



# Ba2Bi4PdRh3, relaxed, DFT PBE-GGA
# Size of the total moment   0.00 μB/f.u.
# Formation energy   -0.490 eV per atom
# ρ   9.7 Mg/m³
# DOS(E_F)   6.79 states/eV/cell
# Electronic total energy   -5.152 eV per atom
data_Ba2Bi4PdRh3
_symmetry_space_group_name_H-M 'P -4 m 2'
_symmetry_Int_Tables_number 115
_cell_length_a 4.892
_cell_length_b 4.892
_cell_length_c 10.871
_cell_angle_alpha 90.00
_cell_angle_beta 90.00
_cell_angle_gamma 90.00
loop_
_symmetry_equiv_pos_as_xyz
'x,y,z'
'y,-x,-z'
'-x,-y,z'
'-y,x,-z'
'-x,y,z'
'-y,-x,-z'
'x,-y,z'
'y,x,-z'
loop_
_atom_site_label
_atom_site_type_symbol
_atom_site_fract_x
_atom_site_fract_y
_atom_site_fract_z
Ba1 Ba 0.000 0.500 0.246
Bi1 Bi 0.000 0.000 0.500
Bi2 Bi 0.000 0.500 0.877
Bi3 Bi 0.500 0.500 0.500
Pd1 Pd 0.500 0.500 0.000
Rh1 Rh 0.000 0.000 0.000
Rh2 Rh 0.000 0.500 0.623



# NaBi2Pb, relaxed, DFT PBE-GGA
# Size of the total moment   0.00 μB/f.u.
# Formation energy   -0.132 eV per atom
# ρ   8.8 Mg/m³
# DOS(E_F)   4.39 states/eV/cell
# Electronic total energy   -3.330 eV per atom
data_NaBi2Pb
_symmetry_space_group_name_H-M 'C 1 2/m 1'
_symmetry_Int_Tables_number 12
_cell_length_a 6.937
_cell_length_b 10.093
_cell_length_c 4.878
_cell_angle_alpha 90.00
_cell_angle_beta 134.07
_cell_angle_gamma 90.00
loop_
_symmetry_equiv_pos_as_xyz
'x,y,z'
'-x,-y,-z'
'-x,y,-z'
'x,-y,z'
'x+1/2,y+1/2,z'
'-x+1/2,-y+1/2,-z'
'-x+1/2,y+1/2,-z'
'x+1/2,-y+1/2,z'
loop_
_atom_site_label
_atom_site_type_symbol
_atom_site_fract_x
_atom_site_fract_y
_atom_site_fract_z
Na1 Na 0.000 0.000 0.000
Bi1 Bi 0.000 0.249 0.500
Pb1 Pb 0.000 0.500 0.000



# NpSn6Pd12, relaxed, DFT PBE-GGA
# Size of the total moment   3.93 μB/f.u.
# Formation energy   -0.348 eV per atom
# ρ   10.0 Mg/m³
# DOS(E_F)   44.39 states/eV/cell
# Electronic total energy   -5.573 eV per atom
data_NpSn6Pd12
_symmetry_space_group_name_H-M 'R -3 m'
_symmetry_Int_Tables_number 166
_symmetry_space_group_name_Hall '-R 3 2"'
_cell_length_a 12.0938
_cell_length_b 12.0938
_cell_length_c 8.7699
_cell_angle_alpha 90.00
_cell_angle_beta 90.00
_cell_angle_gamma 120.00
loop_
_atom_site_label
_atom_site_type_symbol
_atom_site_fract_x
_atom_site_fract_y
_atom_site_fract_z
Np1 Np 0.0000 0.0000 0.0000
Sn1 Sn 0.0558 0.5279 0.2487
Pd1 Pd 0.0000 0.3824 0.5000
Pd2 Pd 0.0811 0.1623 0.2816



# Y2HfH8, relaxed, DFT PBE-GGA
# Size of the total moment   0.00 μB/f.u.
# ρ   6.4 Mg/m³
# DOS(E_F)   4.01 states/eV/cell
# Electronic total energy   -5.007 eV per atom
data_Y2HfH8
_symmetry_space_group_name_H-M 'I m m m'
_symmetry_Int_Tables_number 71
_symmetry_space_group_name_Hall '-I 2 2'
_cell_length_a 3.667
_cell_length_b 4.772
_cell_length_c 10.761
_cell_angle_alpha 90.00
_cell_angle_beta 90.00
_cell_angle_gamma 90.00
loop_
_atom_site_label
_atom_site_type_symbol
_atom_site_fract_x
_atom_site_fract_y
_atom_site_fract_z
Y1 Y 0.000 0.000 0.167
Hf1 Hf 0.000 0.000 0.500
H1 H 0.000 0.251 0.350
H2 H 0.000 0.268 0.000
H3 H 0.000 0.500 0.175



# Ho2CuSi, relaxed, DFT PBE-GGA
# Size of the total moment   0.02 μB/f.u.
# Formation energy (no corrections)   -0.5348 eV/atom
# ρ   8.1 Mg/m³
# DOS(E_F)   8.23 states/eV/cell
# Electronic total energy   -5.203 eV per atom
data_Ho2CuSi
_symmetry_space_group_name_H-M 'P 1 21/m 1'
_symmetry_Int_Tables_number 11
_cell_length_a 5.799
_cell_length_b 4.086
_cell_length_c 7.814
_cell_angle_alpha 90.00
_cell_angle_beta 110.42
_cell_angle_gamma 90.00
loop_
_symmetry_equiv_pos_as_xyz
'x,y,z'
'-x,-y,-z'
'-x,y+1/2,-z'
'x,-y+1/2,z'
loop_
_atom_site_label
_atom_site_type_symbol
_atom_site_fract_x
_atom_site_fract_y
_atom_site_fract_z
Ho1 Ho 0.210 0.250 0.416
Ho2 Ho 0.217 0.250 0.938
Cu1 Cu 0.380 0.750 0.221
Si1 Si 0.345 0.750 0.711



# ReSb2TeBr, relaxed, DFT PBE-GGA
# Size of the total moment   3.47 μB/f.u.
# Formation energy (no corrections)   1.9007 eV/atom
# ρ   6.5 Mg/m³
# DOS(E_F)   5.04 states/eV/cell
# Electronic total energy   -3.201 eV per atom
data_ReSb2TeBr
_symmetry_space_group_name_H-M 'P 4/m m m'
_symmetry_Int_Tables_number 123
_symmetry_space_group_name_Hall '-P 4 2'
_cell_length_a 5.423
_cell_length_b 5.423
_cell_length_c 5.551
_cell_angle_alpha 90.00
_cell_angle_beta 90.00
_cell_angle_gamma 90.00
loop_
_atom_site_label
_atom_site_type_symbol
_atom_site_fract_x
_atom_site_fract_y
_atom_site_fract_z
Re1 Re 0.000 0.000 0.000
Sb1 Sb 0.000 0.500 0.500
Te1 Te 0.500 0.500 0.000
Br1 Br 0.500 0.500 0.500



# Ba2Th3S8, relaxed, DFT PBE-GGA
# Size of the total moment   0.00 μB/f.u.
# Formation energy (no corrections)   -2.0195 eV/atom
# ρ   4.7 Mg/m³
# DOS(E_F)   0.00 states/eV/cell
# Electronic total energy   -6.568 eV per atom
data_Ba2Th3S8
_symmetry_space_group_name_H-M 'C 1 2/m 1'
_symmetry_Int_Tables_number 12
_cell_length_a 15.012
_cell_length_b 8.561
_cell_length_c 7.186
_cell_angle_alpha 90.00
_cell_angle_beta 110.36
_cell_angle_gamma 90.00
loop_
_symmetry_equiv_pos_as_xyz
'x,y,z'
'-x,-y,-z'
'-x,y,-z'
'x,-y,z'
'x+1/2,y+1/2,z'
'-x+1/2,-y+1/2,-z'
'-x+1/2,y+1/2,-z'
'x+1/2,-y+1/2,z'
loop_
_atom_site_label
_atom_site_type_symbol
_atom_site_fract_x
_atom_site_fract_y
_atom_site_fract_z
Ba1 Ba 0.224 0.000 0.155
Th1 Th 0.000 0.240 0.500
Th2 Th 0.000 0.500 0.000
S1 S 0.102 0.500 0.411
S2 S 0.111 0.000 0.454
S3 S 0.111 0.281 0.897



# Tm8Tl2Ga, relaxed, DFT PBE-GGA
# Size of the total moment   0.00 μB/f.u.
# Formation energy   -0.190 eV per atom
# ρ   9.9 Mg/m³
# DOS(E_F)   22.11 states/eV/cell
# Electronic total energy   -4.147 eV per atom
data_Tm8Tl2Ga
_symmetry_space_group_name_H-M 'C 1 2/m 1'
_symmetry_Int_Tables_number 12
_cell_length_a 18.504
_cell_length_b 5.066
_cell_length_c 6.692
_cell_angle_alpha 90.00
_cell_angle_beta 102.56
_cell_angle_gamma 90.00
loop_
_symmetry_equiv_pos_as_xyz
'x,y,z'
'-x,-y,-z'
'-x,y,-z'
'x,-y,z'
'x+1/2,y+1/2,z'
'-x+1/2,-y+1/2,-z'
'-x+1/2,y+1/2,-z'
'x+1/2,-y+1/2,z'
loop_
_atom_site_label
_atom_site_type_symbol
_atom_site_fract_x
_atom_site_fract_y
_atom_site_fract_z
Tm1 Tm 0.019 0.000 0.267
Tm2 Tm 0.089 0.500 0.955
Tm3 Tm 0.152 0.500 0.477
Tm4 Tm 0.203 0.000 0.808
Tl1 Tl 0.187 0.000 0.251
Ga1 Ga 0.000 0.500 0.500



# Co2CuCl, relaxed, DFT PBE-GGA
# Size of the total moment   3.30 μB/f.u.
# Formation energy (no corrections)   0.7254 eV/atom
# ρ   7.0 Mg/m³
# DOS(E_F)   30.40 states/eV/cell
# Electronic total energy   -4.313 eV per atom
data_Co2CuCl
_symmetry_space_group_name_H-M 'F m -3 m'
_symmetry_Int_Tables_number 225
_symmetry_space_group_name_Hall '-F 4 2 3'
_cell_length_a 5.904
_cell_length_b 5.904
_cell_length_c 5.904
_cell_angle_alpha 90.00
_cell_angle_beta 90.00
_cell_angle_gamma 90.00
loop_
_atom_site_label
_atom_site_type_symbol
_atom_site_fract_x
_atom_site_fract_y
_atom_site_fract_z
Co1 Co 0.250 0.250 0.250
Cu1 Cu 0.000 0.000 0.000
Cl1 Cl 0.000 0.000 0.500